Record 1
Density functional theory data (GGA-PBE) for crystalline IrRhSe2 at its relaxed geometry.

The structure in extended XYZ format:
```
4
Lattice="2.906 0.000 0.000 0.000 4.409 0.000 0.000 0.000 5.131" Properties=species:S:1:pos:R:3 pbc="T T T"
Ir 0.000 0.000 0.000
Rh 1.453 0.000 2.566
Se 0.000 2.205 2.566
Se 1.453 2.205 0.000
```

Summary:
- symmetry = Pmmm

***

Record 2
Density functional theory data (GGA-PBE) for crystalline IrRhSe2 at its relaxed geometry.

The structure in extended XYZ format:
```
4
Lattice="3.139 0.000 0.000 0.000 3.158 0.000 0.000 0.000 6.439" Properties=species:S:1:pos:R:3 pbc="T T T"
Ir 0.000 0.000 0.000
Rh 0.000 0.000 3.220
Se 1.569 1.579 1.623
Se 1.569 1.579 4.816
```

Summary:
- symmetry = Pmmm

***

no.,ΔE_f (raw) (eV per atom)
1,0.50
2,0.29